The following is a DFT calculation (PBE-GGA) of crystalline YRe2IrPt at its relaxed geometry.

```
data_YRe2IrPt
_chemical_formula_sum 'Y1 Re2 Ir1 Pt1'
_space_group_name_H-M_alt 'P 1'
_space_group_IT_number 1
_cell_length_a 4.7909
_cell_length_b 4.7909
_cell_length_c 4.7908
_cell_angle_alpha 90.00
_cell_angle_beta 90.00
_cell_angle_gamma 90.00
loop_
_space_group_symop_operation_xyz
'x,y,z'
loop_
_atom_site_label
_atom_site_fract_x
_atom_site_fract_y
_atom_site_fract_z
Y1 0.0000 0.0000 0.0000
Re1 0.0000 0.5000 0.0000
Re2 0.5000 0.0000 0.0000
Ir1 0.0000 0.0000 0.5000
Pt1 0.5000 0.5000 0.5000
```

Values from the calculation:
Fermi-level density of states = 7.588 states/eV per cell
Calculated volume = 110.0 Å³/cell
Formation energy = 2932 meV per atom
DFT total energy = -6.320 eV/atom